(1)
Entry from the Alexandria database: a geometry-optimized TbPd2Pt structure (PBE).

The structure belongs to space group Fm-3m (No. 225); the cell edges are 6.6106, 6.6106 and 6.6106 Å and the angles 90.00°, 90.00° and 90.00°. The distinct sites, in fractional coordinates, are Tb at (0.0000, 0.0000, 0.0000), Pd at (0.2500, 0.2500, 0.2500) and Pt at (0.0000, 0.0000, 0.5000).

The energy above the lowest structure with this stoichiometry is 0.1731 eV/atom. The value obtained for the total magnetization is 0.000 Bohr magnetons per cell. The energy of formation is -0.747 eV per atom.

=====

(2)
Entry from the Alexandria database: a geometry-optimized Sr2TiAgRu structure (PBE).

The structure belongs to space group P4/mmm (No. 123); the cell edges are 5.8767, 5.8767 and 4.8459 Å and the angles 90.00°, 90.00° and 90.00°. The distinct sites, in fractional coordinates, are Sr at (0.0000, 0.5000, 0.0000), Ti at (0.0000, 0.0000, 0.0000), Ag at (0.0000, 0.0000, 0.5000) and Ru at (0.5000, 0.5000, 0.5000).

The value obtained for the total magnetization is 4.617 Bohr magnetons per cell. The energy of formation is 1.414 eV per atom.

=====

(3)
Entry from the Alexandria database: a geometry-optimized ScPbN2O structure (PBE).

The structure belongs to space group P4/mmm (No. 123); the cell edges are 4.4169, 4.4169 and 4.1616 Å and the angles 90.00°, 90.00° and 90.00°. The distinct sites, in fractional coordinates, are Sc at (0.0000, 0.0000, 0.0000), Pb at (0.5000, 0.5000, 0.5000), N at (0.0000, 0.5000, 0.0000) and O at (0.0000, 0.0000, 0.5000).

The value obtained for the energy relative to the elements, uncorrected is -0.13 eV per atom. The value obtained for the total magnetization is 3.005 Bohr magnetons per cell.